Entry from Alexandria: a crystal of TmBiTe3 relaxed with PBEsol (meta-GGA SCAN).

a = 4.2913 Å, b = 4.2913 Å, c = 10.5416 Å
α = 78.26°, β = 78.26°, γ = 60.00°
With the nearest neighbours (Å) after each atom.
Fractional coordinates of all 5 atoms:
1 Tm 0.3989 0.3989 0.8033  6 Te 2.95-3.10
2 Te 0.0050 0.0050 0.9851  3 Tm 3.10, 3 Bi 3.31
3 Te 0.2112 0.2112 0.3665  3 Bi 3.02
4 Te 0.7846 0.7846 0.6463  3 Tm 2.95
5 Bi 0.6004 0.6004 0.1987  6 Te 3.02-3.31

Output
Size of the total moment in μB/cell: 0.00
Electronic total energy in eV per atom: -49.2387

Entry from Alexandria: a crystal of RePdSe2Br relaxed with PBEsol (meta-GGA SCAN).

a = 4.6916 Å, b = 4.6916 Å, c = 5.2945 Å
α = 90.00°, β = 90.00°, γ = 90.00°
With the nearest neighbours (Å) after each atom.
Fractional coordinates of all 5 atoms:
1 Re 0.0000 0.0000 0.0000  4 Se 2.35
2 Se 0.0000 0.5000 0.0000  2 Re 2.35
3 Se 0.5000 0.0000 0.0000  2 Re 2.35
4 Br 0.0000 0.0000 0.5000  2 Re 2.65
5 Pd 0.5000 0.5000 0.5000  4 Br 3.32, 8 Se 3.54

Output
Size of the total moment in μB/cell: 0.00
Electronic total energy in eV per atom: -31.9570

Entry from Alexandria: a crystal of Na2MnP5O15 relaxed with PBEsol (meta-GGA SCAN).

a = 5.2318 Å, b = 8.7801 Å, c = 13.5234 Å
α = 90.00°, β = 90.00°, γ = 103.16°
With the nearest neighbours (Å) after each atom.
Fractional coordinates of all 46 atoms:
1 Na 0.0769 0.1295 0.8900  5 O 2.37-2.52
2 Na 0.0769 0.1295 0.6100  5 O 2.37-2.52
3 Na 0.9231 0.8705 0.1100  5 O 2.37-2.52
4 Na 0.9231 0.8705 0.3900  5 O 2.37-2.52
5 Mn 0.5000 0.5000 0.5000  4 O 1.90-1.91
6 Mn 0.5000 0.5000 0.0000  4 O 1.90-1.91
7 P 0.4550 0.9950 0.2500  4 O 1.48-1.64
8 P 0.0207 0.4870 0.1393  4 O 1.50-1.59
9 P 0.6528 0.1905 0.4224  4 O 1.48-1.61
10 P 0.9793 0.5130 0.8607  4 O 1.50-1.59
11 P 0.3472 0.8095 0.9224  4 O 1.48-1.61
12 P 0.5450 0.0050 0.7500  4 O 1.48-1.64
13 P 0.6528 0.1905 0.0776  4 O 1.48-1.61
14 P 0.9793 0.5130 0.6393  4 O 1.50-1.59
15 P 0.0207 0.4870 0.3607  4 O 1.50-1.59
16 P 0.3472 0.8095 0.5776  4 O 1.48-1.61
17 O 0.1359 0.6901 0.8558  2 P 1.59-1.61
18 O 0.4415 0.1146 0.3418  2 P 1.59-1.64
19 O 0.5135 0.2862 0.0109  1 P 1.53
20 O 0.8641 0.3099 0.3558  2 P 1.59-1.61
21 O 0.5585 0.8854 0.6582  2 P 1.59-1.64
22 O 0.2160 0.9221 0.9713  1 P 1.48
23 O 0.4865 0.7138 0.9891  1 P 1.53
24 O 0.1168 0.4161 0.9239  1 P 1.50
25 O 0.8832 0.5839 0.4239  1 P 1.50
26 O 0.3080 0.4908 0.3790  1 P 1.52
27 O 0.6920 0.5092 0.8790  1 P 1.52
28 O 0.2873 0.0497 0.7500  1 P 1.49
29 O 0.7840 0.0779 0.0287  1 P 1.48
30 O 0.1359 0.6901 0.6442  2 P 1.59-1.61
31 O 0.6920 0.5092 0.6210  1 P 1.52
32 O 0.3080 0.4908 0.1210  1 P 1.52
33 O 0.7986 0.1225 0.7500  1 P 1.48
34 O 0.5585 0.8854 0.8418  2 P 1.59-1.64
35 O 0.1168 0.4161 0.5761  1 P 1.50
36 O 0.2160 0.9221 0.5287  1 P 1.48
37 O 0.7840 0.0779 0.4713  1 P 1.48
38 O 0.2014 0.8775 0.2500  1 P 1.48
39 O 0.4865 0.7138 0.5109  1 P 1.53
40 O 0.0017 0.4580 0.7500  2 P 1.59
41 O 0.8832 0.5839 0.0761  1 P 1.50
42 O 0.8641 0.3099 0.1442  2 P 1.59-1.61
43 O 0.5135 0.2862 0.4891  1 P 1.53
44 O 0.4415 0.1146 0.1582  2 P 1.59-1.64
45 O 0.7127 0.9503 0.2500  1 P 1.49
46 O 0.9983 0.5420 0.2500  2 P 1.59

Output
Size of the total moment in μB/cell: 8.00
Electronic total energy in eV per atom: -9.8891

Entry from Alexandria: a crystal of HIrI3 relaxed with PBEsol (meta-GGA SCAN).

a = 4.6788 Å, b = 4.6788 Å, c = 4.6788 Å
α = 90.00°, β = 90.00°, γ = 90.00°
With the nearest neighbours (Å) after each atom.
Fractional coordinates of all 5 atoms:
1 I 0.0000 0.5000 0.0000  2 H 2.34
2 I 0.0000 0.0000 0.5000  2 H 2.34
3 I 0.5000 0.0000 0.0000  2 H 2.34
4 H 0.0000 0.0000 0.0000  6 I 2.34
5 Ir 0.5000 0.5000 0.5000  12 I 3.31

Output
Size of the total moment in μB/cell: 0.00
Electronic total energy in eV per atom: -35.2197